1.
A plane-wave DFT calculation with SCAN was carried out for CsKI2O at its PBEsol-relaxed geometry.

- SG = P4/mmm, No. 123
- density of states at the Fermi level (states/eV/f.u.) = 3.302
- crystal system = tetragonal
- raw formation energy (kJ per mole of atoms) = -78.2
- total energy (Ry per atom) = -1.9096

Cell and atoms, written as CIF:
```
data_CsKI2O
_space_group_name_H-M_alt 'P 1'
_space_group_IT_number 1
_cell_length_a 6.559
_cell_length_b 6.559
_cell_length_c 5.142
_cell_angle_alpha 90.00
_cell_angle_beta 90.00
_cell_angle_gamma 90.00
loop_
_space_group_symop_operation_xyz
'x,y,z'
loop_
_atom_site_label
_atom_site_type_symbol
_atom_site_fract_x
_atom_site_fract_y
_atom_site_fract_z
Cs1 Cs 0.000 0.000 0.000
K1 K 0.500 0.500 0.500
I1 I 0.000 0.500 0.500
I2 I 0.500 0.000 0.500
O1 O 0.500 0.500 0.000
```


2.
A plane-wave DFT calculation with SCAN was carried out for OsPbI2 at its PBEsol-relaxed geometry.

- SG = Fm-3m, No. 225
- density of states at the Fermi level (states/eV/f.u.) = 2.160
- crystal system = cubic
- raw formation energy (kJ per mole of atoms) = 124.4
- total energy (Ry per atom) = -3.9687

Cell and atoms, written as CIF:
```
data_OsPbI2
_space_group_name_H-M_alt 'P 1'
_space_group_IT_number 1
_cell_length_a 5.208
_cell_length_b 5.208
_cell_length_c 5.208
_cell_angle_alpha 60.00
_cell_angle_beta 60.00
_cell_angle_gamma 60.00
loop_
_space_group_symop_operation_xyz
'x,y,z'
loop_
_atom_site_label
_atom_site_type_symbol
_atom_site_fract_x
_atom_site_fract_y
_atom_site_fract_z
Os1 Os 0.000 0.000 0.000
Pb1 Pb 0.500 0.500 0.500
I1 I 0.250 0.250 0.250
I2 I 0.750 0.750 0.750
```


3.
A plane-wave DFT calculation with SCAN was carried out for V2O5 at its PBEsol-relaxed geometry.

- SG = Cmcm, No. 63
- density of states at the Fermi level (states/eV/f.u.) = 0.000
- crystal system = orthorhombic
- raw formation energy (kJ per mole of atoms) = -234.9
- total energy (Ry per atom) = -0.8733

Cell and atoms, written as CIF:
```
data_V2O5
_space_group_name_H-M_alt 'P 1'
_space_group_IT_number 1
_cell_length_a 5.490
_cell_length_b 5.490
_cell_length_c 11.384
_cell_angle_alpha 90.00
_cell_angle_beta 90.00
_cell_angle_gamma 142.46
loop_
_space_group_symop_operation_xyz
'x,y,z'
loop_
_atom_site_label
_atom_site_type_symbol
_atom_site_fract_x
_atom_site_fract_y
_atom_site_fract_z
V1 V 0.204 0.796 0.604
V2 V 0.204 0.796 0.896
V3 V 0.796 0.204 0.104
V4 V 0.796 0.204 0.396
O1 O 0.053 0.947 0.616
O2 O 0.053 0.947 0.884
O3 O 0.251 0.749 0.068
O4 O 0.251 0.749 0.432
O5 O 0.264 0.736 0.750
O6 O 0.736 0.264 0.250
O7 O 0.749 0.251 0.568
O8 O 0.749 0.251 0.932
O9 O 0.947 0.053 0.116
O10 O 0.947 0.053 0.384
```


4.
A plane-wave DFT calculation with SCAN was carried out for Co2BiPI at its PBEsol-relaxed geometry.

- SG = P4/mmm, No. 123
- density of states at the Fermi level (states/eV/f.u.) = 2.547
- crystal system = tetragonal
- raw formation energy (kJ per mole of atoms) = 127.3
- total energy (Ry per atom) = -2.2598

Cell and atoms, written as CIF:
```
data_Co2BiPI
_space_group_name_H-M_alt 'P 1'
_space_group_IT_number 1
_cell_length_a 4.565
_cell_length_b 4.565
_cell_length_c 5.307
_cell_angle_alpha 90.00
_cell_angle_beta 90.00
_cell_angle_gamma 90.00
loop_
_space_group_symop_operation_xyz
'x,y,z'
loop_
_atom_site_label
_atom_site_type_symbol
_atom_site_fract_x
_atom_site_fract_y
_atom_site_fract_z
Co1 Co 0.000 0.500 0.000
Co2 Co 0.500 0.000 0.000
Bi1 Bi 0.000 0.000 0.500
P1 P 0.500 0.500 0.500
I1 I 0.500 0.500 0.000
```


5.
A plane-wave DFT calculation with SCAN was carried out for SrCa2Zn at its PBEsol-relaxed geometry.

- SG = Immm, No. 71
- density of states at the Fermi level (states/eV/f.u.) = 3.649
- crystal system = orthorhombic
- total energy (Ry per atom) = -1.0196
- formation energy (eV/atom) = -0.093

Cell and atoms, written as CIF:
```
data_SrCa2Zn
_space_group_name_H-M_alt 'P 1'
_space_group_IT_number 1
_cell_length_a 7.016
_cell_length_b 7.016
_cell_length_c 7.016
_cell_angle_alpha 148.34
_cell_angle_beta 130.24
_cell_angle_gamma 60.19
loop_
_space_group_symop_operation_xyz
'x,y,z'
loop_
_atom_site_label
_atom_site_type_symbol
_atom_site_fract_x
_atom_site_fract_y
_atom_site_fract_z
Sr1 Sr 0.000 0.000 0.000
Ca1 Ca 0.303 0.803 0.500
Ca2 Ca 0.697 0.197 0.500
Zn1 Zn 0.500 0.500 0.000
```


6.
A plane-wave DFT calculation with SCAN was carried out for La3Ga4Cl at its PBEsol-relaxed geometry.

- SG = I4/mcm, No. 140
- density of states at the Fermi level (states/eV/f.u.) = 2.176
- crystal system = tetragonal
- raw formation energy (kJ per mole of atoms) = -111.6
- total energy (Ry per atom) = -1.9471

Cell and atoms, written as CIF:
```
data_La3Ga4Cl
_space_group_name_H-M_alt 'P 1'
_space_group_IT_number 1
_cell_length_a 8.013
_cell_length_b 8.013
_cell_length_c 8.013
_cell_angle_alpha 119.39
_cell_angle_beta 119.39
_cell_angle_gamma 91.06
loop_
_space_group_symop_operation_xyz
'x,y,z'
loop_
_atom_site_label
_atom_site_type_symbol
_atom_site_fract_x
_atom_site_fract_y
_atom_site_fract_z
La1 La 0.161 0.661 0.821
La2 La 0.250 0.250 0.000
La3 La 0.339 0.161 0.500
La4 La 0.661 0.839 0.500
La5 La 0.750 0.750 0.000
La6 La 0.839 0.339 0.179
Ga1 Ga 0.055 0.842 0.500
Ga2 Ga 0.158 0.658 0.214
Ga3 Ga 0.342 0.555 0.500
Ga4 Ga 0.445 0.945 0.786
Ga5 Ga 0.555 0.055 0.214
Ga6 Ga 0.658 0.445 0.500
Ga7 Ga 0.842 0.342 0.786
Ga8 Ga 0.945 0.158 0.500
Cl1 Cl 0.000 0.000 0.000
Cl2 Cl 0.500 0.500 0.000
```


7.
A plane-wave DFT calculation with SCAN was carried out for YTl2Pt at its PBEsol-relaxed geometry.

- SG = F-43m, No. 216
- density of states at the Fermi level (states/eV/f.u.) = 1.550
- crystal system = cubic
- total energy (Ry per atom) = -4.4947
- formation energy (eV/atom) = -0.466

Cell and atoms, written as CIF:
```
data_YTl2Pt
_space_group_name_H-M_alt 'P 1'
_space_group_IT_number 1
_cell_length_a 4.995
_cell_length_b 4.995
_cell_length_c 4.995
_cell_angle_alpha 60.00
_cell_angle_beta 60.00
_cell_angle_gamma 60.00
loop_
_space_group_symop_operation_xyz
'x,y,z'
loop_
_atom_site_label
_atom_site_type_symbol
_atom_site_fract_x
_atom_site_fract_y
_atom_site_fract_z
Y1 Y 0.000 0.000 0.000
Tl1 Tl 0.500 0.500 0.500
Tl2 Tl 0.750 0.750 0.750
Pt1 Pt 0.250 0.250 0.250
```


8.
A plane-wave DFT calculation with SCAN was carried out for Ta2ZnP at its PBEsol-relaxed geometry.

- SG = Cmmm, No. 65
- density of states at the Fermi level (states/eV/f.u.) = 1.999
- crystal system = orthorhombic
- total energy (Ry per atom) = -2.8908
- formation energy (eV/atom) = -0.061

Cell and atoms, written as CIF:
```
data_Ta2ZnP
_space_group_name_H-M_alt 'P 1'
_space_group_IT_number 1
_cell_length_a 4.444
_cell_length_b 4.444
_cell_length_c 3.082
_cell_angle_alpha 90.00
_cell_angle_beta 90.00
_cell_angle_gamma 99.70
loop_
_space_group_symop_operation_xyz
'x,y,z'
loop_
_atom_site_label
_atom_site_type_symbol
_atom_site_fract_x
_atom_site_fract_y
_atom_site_fract_z
Ta1 Ta 0.000 0.500 0.000
Ta2 Ta 0.500 0.000 0.000
Zn1 Zn 0.000 0.000 0.500
P1 P 0.500 0.500 0.500
```